(1)
SrNiH6, optimized geometry, DFT GGA-PBE; electronic total energy = -3.706 eV per atom; space-group type = No. 166; calculated volume = 75.60 Å³/cell; distance to the lowest polymorph of the same formula = 0 kJ/mol of formula units
1.0
-0.9433 0.7330 -4.5581
-4.4531 -0.1304 -1.5350
-2.1504 4.0551 -1.3385
H Sr Ni
6 1 1
Direct
0.9172 0.9172 0.7885 H
0.0828 0.6229 0.2115 H
0.9172 0.3771 0.7885 H
0.0828 0.0828 0.2115 H
0.3771 0.9172 0.7885 H
0.6229 0.0828 0.2115 H
0.5000 0.5000 0.5000 Sr
0.0000 0.0000 0.0000 Ni

***

(2)
La6TlIn, optimized geometry, DFT GGA-PBE; electronic total energy = -4.607 eV per atom; space-group type = No. 123; formation energy from the elements = -0.27 eV per atom; calculated volume = 260.00 Å³/cell; distance to the lowest polymorph of the same formula = 0 kJ/mol of formula units
1.0
-0.0847 2.6724 -4.3039
-1.1793 -4.1967 -2.5826
-9.8480 1.9160 1.3836
La In Tl
6 1 1
Direct
0.0000 0.5000 0.2513 La
0.5000 0.0000 0.7487 La
0.5000 0.5000 0.5000 La
0.5000 0.0000 0.2513 La
0.5000 0.5000 0.0000 La
0.0000 0.5000 0.7487 La
0.0000 0.0000 0.5000 In
0.0000 0.0000 0.0000 Tl

***

(3)
Fe2SeBr8, optimized geometry, DFT GGA-PBE; energy relative to the elements, uncorrected = -267 meV/atom; electronic total energy = -3.339 eV per atom; space-group type = No. 12; calculated volume = 448.73 Å³/cell
1.0
7.2690 -0.5346 -0.0095
-0.0992 7.8045 1.3039
-0.6767 -0.1628 7.8825
Br Fe Se
8 2 1
Direct
0.3101 0.9476 0.3312 Br
0.1645 0.8242 0.8242 Br
0.8355 0.1758 0.1758 Br
0.6899 0.0524 0.6688 Br
0.6899 0.6688 0.0524 Br
0.2383 0.3933 0.3933 Br
0.7617 0.6067 0.6067 Br
0.3101 0.3312 0.9476 Br
0.1839 0.2005 0.2005 Fe
0.8161 0.7995 0.7995 Fe
0.0000 0.0000 0.0000 Se

***

(4)
PmBRhN, optimized geometry, DFT GGA-PBE; energy relative to the elements, uncorrected = -1116 meV/atom; electronic total energy = -7.892 eV per atom; space-group type = No. 129; calculated volume = 108.44 Å³/cell
1.0
3.8124 0.0000 0.0000
0.0000 3.8124 0.0000
0.0000 0.0000 7.4606
B Pm N Rh
2 2 2 2
Direct
0.0000 0.5000 0.3504 B
0.5000 0.0000 0.6496 B
0.5000 0.0000 0.1694 Pm
0.0000 0.5000 0.8306 Pm
0.0000 0.5000 0.1529 N
0.5000 0.0000 0.8471 N
0.0000 0.0000 0.5000 Rh
0.5000 0.5000 0.5000 Rh

***

(5)
Ho5Ni2Se2, optimized geometry, DFT GGA-PBE; energy relative to the elements, uncorrected = -942 meV/atom; electronic total energy = -5.544 eV per atom; space-group type = No. 64; calculated volume = 408.76 Å³/cell
1.0
6.9723 0.0000 2.5309
0.0000 7.4296 0.0000
0.9552 0.0000 8.2377
Ni Ho Se
4 10 4
Direct
0.1331 0.3703 0.0000 Ni
0.8669 0.6297 0.0000 Ni
0.3669 0.8703 0.0000 Ni
0.6331 0.1297 0.0000 Ni
0.7877 0.8418 0.7466 Ho
0.9657 0.3418 0.7466 Ho
0.5000 0.5000 0.0000 Ho
0.0343 0.6582 0.2534 Ho
0.2877 0.6582 0.7466 Ho
0.5343 0.8418 0.2534 Ho
0.2123 0.1582 0.2534 Ho
0.4657 0.1582 0.7466 Ho
0.0000 0.0000 0.0000 Ho
0.7123 0.3418 0.2534 Ho
0.2951 0.5000 0.4098 Se
0.2049 0.0000 0.5902 Se
0.7049 0.5000 0.5902 Se
0.7951 0.0000 0.4098 Se

***

(6)
ReIrNF2, optimized geometry, DFT GGA-PBE; energy relative to the elements, uncorrected = 845 meV/atom; electronic total energy = -5.831 eV per atom; space-group type = No. 123; calculated volume = 75.62 Å³/cell; distance to the lowest polymorph of the same formula = 141 kJ/mol of formula units
1.0
4.5394 0.0000 0.0000
0.0000 4.5394 0.0000
0.0000 0.0000 3.6699
F N Ir Re
2 1 1 1
Direct
0.0000 0.5000 0.0000 F
0.5000 0.0000 0.0000 F
0.0000 0.0000 0.5000 N
0.0000 0.0000 0.0000 Ir
0.5000 0.5000 0.5000 Re

***

- Among the records above, which one has the highest electronic total energy?
  Fe2SeBr8

***

Copy entry 4 word for word.
PmBRhN, optimized geometry, DFT GGA-PBE; energy relative to the elements, uncorrected = -1116 meV/atom; electronic total energy = -7.892 eV per atom; space-group type = No. 129; calculated volume = 108.44 Å³/cell
1.0
3.8124 0.0000 0.0000
0.0000 3.8124 0.0000
0.0000 0.0000 7.4606
B Pm N Rh
2 2 2 2
Direct
0.0000 0.5000 0.3504 B
0.5000 0.0000 0.6496 B
0.5000 0.0000 0.1694 Pm
0.0000 0.5000 0.8306 Pm
0.0000 0.5000 0.1529 N
0.5000 0.0000 0.8471 N
0.0000 0.0000 0.5000 Rh
0.5000 0.5000 0.5000 Rh